! IClF2 PBEsol relaxed; values from VASP
&SYSTEM
  ibrav = 0, nat = 12, ntyp = 3
/
ATOMIC_SPECIES
I 126.90 I.upf
Cl 35.45 Cl.upf
F 19.00 F.upf
CELL_PARAMETERS angstrom
3.1837 0.0000 0.0000
-1.5918 2.7571 0.0000
0.0000 0.0000 27.3190
ATOMIC_POSITIONS angstrom
I 0.0000 0.0000 0.0000
I 0.0000 1.8381 18.2127
I 1.5918 0.9190 9.1063
Cl 0.0000 0.0000 13.6595
Cl 0.0000 1.8381 4.5532
Cl 1.5918 0.9190 22.7658
F 0.0000 0.0000 11.9005
F 0.0000 0.0000 15.4185
F 0.0000 1.8381 2.7942
F 0.0000 1.8381 6.3121
F 1.5918 0.9190 21.0069
F 1.5918 0.9190 24.5248
! - Uncorrected formation energy: -0.373 eV/atom